<one>
# Sm2Sn4Hg | Alexandria | PBE | optimized geometry
# Size of the total moment: 0.000 μB per formula unit
# D(E_F): 0.528 states/eV per atom
# Calculated volume: 28.36 A^3/atom
# Theoretical density: 8.166 g/cm3
data_Sm2Sn4Hg
_cell_length_a 9.210
_cell_length_b 9.225
_cell_length_c 9.345
_cell_angle_alpha 90.00
_cell_angle_beta 90.00
_cell_angle_gamma 90.00
_space_group_name_H-M_alt 'F m m m'
_space_group_IT_number 69
_space_group_name_Hall '-F 2 2'
loop_
_atom_site_label
_atom_site_fract_x
_atom_site_fract_y
_atom_site_fract_z
_atom_site_occupancy
Sm1 0.250 0.250 0.000 1
Sn1 0.000 0.250 0.250 1
Sn2 0.250 0.000 0.250 1
Hg1 0.000 0.000 0.000 1



<two>
# Sm2Sn4Hg | Alexandria | PBE | optimized geometry
# Size of the total moment: 0.000 μB per formula unit
# D(E_F): 0.538 states/eV per atom
# Calculated volume: 28.02 A^3/atom
# Theoretical density: 8.263 g/cm3
data_Sm2Sn4Hg
_cell_length_a 4.532
_cell_length_b 4.532
_cell_length_c 9.549
_cell_angle_alpha 90.00
_cell_angle_beta 90.00
_cell_angle_gamma 90.00
_space_group_name_H-M_alt 'P -4 m 2'
_space_group_IT_number 115
loop_
_space_group_symop_operation_xyz
'x,y,z'
'y,-x,-z'
'-x,-y,z'
'-y,x,-z'
'-x,y,z'
'-y,-x,-z'
'x,-y,z'
'y,x,-z'
loop_
_atom_site_label
_atom_site_fract_x
_atom_site_fract_y
_atom_site_fract_z
_atom_site_occupancy
Sm1 0.000 0.500 0.235 1
Sn1 0.000 0.000 0.500 1
Sn2 0.000 0.500 0.802 1
Sn3 0.500 0.500 0.500 1
Hg1 0.500 0.500 0.000 1



Which one sits at the bottom of the stability order? <two> does.



<one>
# SmSn3Hg | Alexandria | PBE | optimized geometry
# Size of the total moment: 0.000 μB per formula unit
# D(E_F): 0.409 states/eV per atom
# Calculated volume: 26.65 A^3/atom
# Theoretical density: 8.811 g/cm3
data_SmSn3Hg
_cell_length_a 13.149
_cell_length_b 6.335
_cell_length_c 6.399
_cell_angle_alpha 90.00
_cell_angle_beta 90.00
_cell_angle_gamma 90.00
_space_group_name_H-M_alt 'P b c m'
_space_group_IT_number 57
loop_
_space_group_symop_operation_xyz
'x,y,z'
'-x,-y,-z'
'-x,-y,z+1/2'
'x,y,-z+1/2'
'x,-y+1/2,-z'
'-x,y+1/2,z'
'-x,y+1/2,-z+1/2'
'x,-y+1/2,z+1/2'
loop_
_atom_site_label
_atom_site_fract_x
_atom_site_fract_y
_atom_site_fract_z
_atom_site_occupancy
Sm1 0.191 0.010 0.250 1
Sn1 0.000 0.250 0.000 1
Sn2 0.223 0.516 0.250 1
Sn3 0.422 0.696 0.750 1
Hg1 0.382 0.250 0.000 1



<two>
# SmSn3Hg | Alexandria | PBE | optimized geometry
# Size of the total moment: 0.210 μB per formula unit
# D(E_F): 0.772 states/eV per atom
# Calculated volume: 41.89 A^3/atom
# Theoretical density: 5.605 g/cm3
data_SmSn3Hg
_cell_length_a 6.195
_cell_length_b 6.248
_cell_length_c 6.249
_cell_angle_alpha 60.00
_cell_angle_beta 89.34
_cell_angle_gamma 89.57
_space_group_name_H-M_alt 'P -1'
_space_group_IT_number 2
loop_
_space_group_symop_operation_xyz
'x,y,z'
'-x,-y,-z'
loop_
_atom_site_label
_atom_site_fract_x
_atom_site_fract_y
_atom_site_fract_z
_atom_site_occupancy
Sm1 0.000 0.000 0.000 1
Sn1 0.000 0.000 0.500 1
Sn2 0.000 0.500 0.000 1
Sn3 0.000 0.500 0.500 1
Hg1 0.500 0.000 0.000 1



Which one sits at the bottom of the stability order? <two> does.



<one>
# Sm3Sn3Hg | Alexandria | PBE | optimized geometry
# Size of the total moment: 0.000 μB per formula unit
# D(E_F): 0.669 states/eV per atom
# Calculated volume: 28.01 A^3/atom
# Theoretical density: 8.534 g/cm3
data_Sm3Sn3Hg
_cell_length_a 11.729
_cell_length_b 4.602
_cell_length_c 15.243
_cell_angle_alpha 90.00
_cell_angle_beta 107.58
_cell_angle_gamma 90.00
_space_group_name_H-M_alt 'C 1 2/m 1'
_space_group_IT_number 12
loop_
_space_group_symop_operation_xyz
'x,y,z'
'-x,-y,-z'
'-x,y,-z'
'x,-y,z'
'x+1/2,y+1/2,z'
'-x+1/2,-y+1/2,-z'
'-x+1/2,y+1/2,-z'
'x+1/2,-y+1/2,z'
loop_
_atom_site_label
_atom_site_fract_x
_atom_site_fract_y
_atom_site_fract_z
_atom_site_occupancy
Sm1 0.013 0.000 0.375 1
Sm2 0.106 0.000 0.924 1
Sm3 0.227 0.000 0.226 1
Sn1 0.004 0.500 0.778 1
Sn2 0.120 0.500 0.075 1
Sn3 0.135 0.500 0.542 1
Hg1 0.223 0.500 0.375 1



<two>
# Sm3Sn3Hg | Alexandria | PBE | optimized geometry
# Size of the total moment: 0.000 μB per formula unit
# D(E_F): 0.574 states/eV per atom
# Calculated volume: 33.54 A^3/atom
# Theoretical density: 7.127 g/cm3
data_Sm3Sn3Hg
_cell_length_a 9.3021
_cell_length_b 9.3021
_cell_length_c 6.2666
_cell_angle_alpha 90.00
_cell_angle_beta 90.00
_cell_angle_gamma 120.00
_space_group_name_H-M_alt 'P 63/m'
_space_group_IT_number 176
_space_group_name_Hall '-P 6c'
loop_
_atom_site_label
_atom_site_fract_x
_atom_site_fract_y
_atom_site_fract_z
_atom_site_occupancy
Sm1 0.0480 0.3707 0.2500 1
Sn1 0.0415 0.3384 0.7500 1
Hg1 0.3333 0.6667 0.7500 1



Which one sits at the bottom of the stability order? <two> does.



<one>
# SmSnHg4 | Alexandria | PBE | optimized geometry
# Size of the total moment: 0.000 μB per formula unit
# D(E_F): 0.362 states/eV per atom
# Calculated volume: 25.86 A^3/atom
# Theoretical density: 11.466 g/cm3
data_SmSnHg4
_cell_length_a 8.530
_cell_length_b 8.530
_cell_length_c 8.530
_cell_angle_alpha 90.00
_cell_angle_beta 90.00
_cell_angle_gamma 90.00
_space_group_name_H-M_alt 'F -4 3 m'
_space_group_IT_number 216
_space_group_name_Hall 'F -4 2 3'
loop_
_atom_site_label
_atom_site_fract_x
_atom_site_fract_y
_atom_site_fract_z
_atom_site_occupancy
Sm1 0.000 0.000 0.000 1
Sn1 0.250 0.250 0.750 1
Hg1 0.125 0.125 0.375 1



<two>
# SmSnHg4 | Alexandria | PBE | optimized geometry
# Size of the total moment: 0.000 μB per formula unit
# D(E_F): 0.424 states/eV per atom
# Calculated volume: 25.05 A^3/atom
# Theoretical density: 11.839 g/cm3
data_SmSnHg4
_cell_length_a 4.590
_cell_length_b 14.078
_cell_length_c 4.652
_cell_angle_alpha 90.00
_cell_angle_beta 90.00
_cell_angle_gamma 90.00
_space_group_name_H-M_alt 'C m m m'
_space_group_IT_number 65
_space_group_name_Hall '-C 2 2'
loop_
_atom_site_label
_atom_site_fract_x
_atom_site_fract_y
_atom_site_fract_z
_atom_site_occupancy
Sm1 0.000 0.000 0.000 1
Sn1 0.000 0.500 0.500 1
Hg1 0.000 0.167 0.500 1
Hg2 0.000 0.329 0.000 1



Which one sits at the bottom of the stability order? <one> does.



<one>
# TbSmSnHg | Alexandria | PBE | optimized geometry
# Size of the total moment: 0.000 μB per formula unit
# D(E_F): 0.930 states/eV per atom
# Calculated volume: 27.01 A^3/atom
# Theoretical density: 9.660 g/cm3
data_TbSmSnHg
_cell_length_a 7.561
_cell_length_b 7.561
_cell_length_c 7.561
_cell_angle_alpha 90.00
_cell_angle_beta 90.00
_cell_angle_gamma 90.00
_space_group_name_H-M_alt 'F -4 3 m'
_space_group_IT_number 216
_space_group_name_Hall 'F -4 2 3'
loop_
_atom_site_label
_atom_site_fract_x
_atom_site_fract_y
_atom_site_fract_z
_atom_site_occupancy
Tb1 0.000 0.000 0.000 1
Sm1 0.000 0.000 0.500 1
Sn1 0.250 0.250 0.750 1
Hg1 0.250 0.250 0.250 1



<two>
# TbSmSnHg | Alexandria | PBE | optimized geometry
# Size of the total moment: 0.000 μB per formula unit
# D(E_F): 0.727 states/eV per atom
# Calculated volume: 27.14 A^3/atom
# Theoretical density: 9.613 g/cm3
data_TbSmSnHg
_cell_length_a 3.823
_cell_length_b 3.823
_cell_length_c 7.431
_cell_angle_alpha 90.00
_cell_angle_beta 90.00
_cell_angle_gamma 90.00
_space_group_name_H-M_alt 'P 4 m m'
_space_group_IT_number 99
loop_
_space_group_symop_operation_xyz
'x,y,z'
'-y,x,z'
'-x,-y,z'
'y,-x,z'
'-x,y,z'
'y,x,z'
'x,-y,z'
'-y,-x,z'
loop_
_atom_site_label
_atom_site_fract_x
_atom_site_fract_y
_atom_site_fract_z
_atom_site_occupancy
Tb1 0.000 0.000 0.000 1
Sm1 0.000 0.000 0.493 1
Sn1 0.500 0.500 0.752 1
Hg1 0.500 0.500 0.238 1



Which one sits at the bottom of the stability order? <two> does.



<one>
# SmTlSnHg | Alexandria | PBE | optimized geometry
# Size of the total moment: 0.000 μB per formula unit
# D(E_F): 0.665 states/eV per atom
# Calculated volume: 28.09 A^3/atom
# Theoretical density: 9.963 g/cm3
data_SmTlSnHg
_cell_length_a 7.660
_cell_length_b 7.660
_cell_length_c 7.660
_cell_angle_alpha 90.00
_cell_angle_beta 90.00
_cell_angle_gamma 90.00
_space_group_name_H-M_alt 'F -4 3 m'
_space_group_IT_number 216
_space_group_name_Hall 'F -4 2 3'
loop_
_atom_site_label
_atom_site_fract_x
_atom_site_fract_y
_atom_site_fract_z
_atom_site_occupancy
Sm1 0.000 0.000 0.000 1
Tl1 0.000 0.000 0.500 1
Sn1 0.250 0.250 0.250 1
Hg1 0.250 0.250 0.750 1



<two>
# SmTlSnHg | Alexandria | PBE | optimized geometry
# Size of the total moment: 0.000 μB per formula unit
# D(E_F): 0.434 states/eV per atom
# Calculated volume: 26.31 A^3/atom
# Theoretical density: 10.636 g/cm3
data_SmTlSnHg
_cell_length_a 4.621
_cell_length_b 4.689
_cell_length_c 4.857
_cell_angle_alpha 90.00
_cell_angle_beta 90.00
_cell_angle_gamma 90.00
_space_group_name_H-M_alt 'P m m m'
_space_group_IT_number 47
loop_
_space_group_symop_operation_xyz
'x,y,z'
'-x,-y,-z'
'-x,-y,z'
'x,y,-z'
'x,-y,-z'
'-x,y,z'
'-x,y,-z'
'x,-y,z'
loop_
_atom_site_label
_atom_site_fract_x
_atom_site_fract_y
_atom_site_fract_z
_atom_site_occupancy
Sm1 0.000 0.000 0.000 1
Tl1 0.500 0.000 0.500 1
Sn1 0.500 0.500 0.000 1
Hg1 0.000 0.500 0.500 1



Which one sits at the bottom of the stability order? <one> does.